[1]
Entry from Alexandria: a geometry-optimized ScBePd6 structure (PBE).

abc: 8.0243 8.0243 6.9509
angles: 90.00 90.00 120.00
Last column: nearest neighbours and their distance in Å.
Space group R-3m (No. 166, hexagonal axes)
One atom of each set of equivalent atoms:
Sc1 0.0000 0.0000 0.0000 [3 per cell]  12 Pd 2.78-3.04
Be1 0.0000 0.0000 0.5000 [3 per cell]  6 Pd 2.15
Pd1 0.0658 0.5329 0.3214 [18 per cell]  1 Be 2.15

Summary:
For the energy relative to the elements, the calculation gives -27 kJ per mole of atoms. The crystal system is trigonal.


[2]
Entry from Alexandria: a geometry-optimized Cd2InI8 structure (PBE).

abc: 16.6239 7.9830 7.3987
angles: 90.00 92.53 90.00
Last column: nearest neighbours and their distance in Å.
Space group C2/m (No. 12)
One atom of each set of equivalent atoms:
Cd1 0.1636 0.0000 0.1122 [4 per cell]  4 I 2.77-2.86
In1 0.0000 0.0000 0.5000 [2 per cell]  6 I 2.93-3.10
I1 0.0689 0.2558 0.2696 [8 per cell]  1 Cd 2.86, 1 In 2.93
I2 0.1613 0.0000 0.7262 [4 per cell]  1 Cd 2.85, 1 In 3.10
I3 0.1741 0.5000 0.7870 [4 per cell]  1 Cd 2.77

Summary:
As for the formation energy from raw total energies: -9.32 kcal/mol of atoms. The crystal system is monoclinic.


[3]
Entry from Alexandria: a geometry-optimized Cs2PbI4 structure (PBE).

abc: 15.2658 4.9611 10.3256
angles: 90.00 115.49 90.00
Last column: nearest neighbours and their distance in Å.
Space group C2/m (No. 12)
One atom of each set of equivalent atoms:
Cs1 0.1582 0.0000 0.1718 [4 per cell]  8 I 3.94-4.39
Pb1 0.0000 0.5000 0.5000 [2 per cell]  6 I 3.25-3.30
I1 0.0585 0.5000 0.8423 [4 per cell]  1 Pb 3.25
I2 0.1537 0.0000 0.5512 [4 per cell]  2 Pb 3.30

Summary:
As for the formation energy from raw total energies: -26.85 kcal/mol of atoms. The crystal system is monoclinic. The value obtained for the distance to the lowest polymorph of the same formula is 5.6 meV/atom.


[4]
Entry from Alexandria: a geometry-optimized SrPtW structure (PBE).

abc: 4.5788 7.8475 7.5713
angles: 90.00 90.00 90.00
Last column: nearest neighbours and their distance in Å.
Space group Imm2 (No. 44)
One atom of each set of equivalent atoms:
Sr1 0.0000 0.0000 0.0000 [2 per cell]  6 Pt 3.16-3.24, 2 W 3.29, 2 Sr 3.54
Sr2 0.0000 0.5000 0.1429 [2 per cell]  6 W 3.16-3.36, 6 Pt 3.37-3.50
Pt1 0.0000 0.3052 0.7267 [4 per cell]  3 W 2.67-2.71
W1 0.0000 0.1544 0.4046 [4 per cell]  1 W 2.42, 3 Pt 2.67-2.71

Summary:
For the energy relative to the elements, the calculation gives 5 kJ per mole of atoms. The crystal system is orthorhombic. The value obtained for the distance to the lowest polymorph of the same formula is 79.0 meV/atom.


[5]
Entry from Alexandria: a geometry-optimized V2CoTe6 structure (PBE).

abc: 6.4720 6.4720 5.8603
angles: 90.00 90.00 120.00
Last column: nearest neighbours and their distance in Å.
Space group P-31m (No. 162)
One atom of each set of equivalent atoms:
V1 0.3333 0.6667 0.0000 [2 per cell]  6 Te 2.66
Co1 0.0000 0.0000 0.5000 [1 per cell]  6 Te 2.58
Te1 0.0000 0.3383 0.2681 [6 per cell]  1 Co 2.58, 2 V 2.66

Summary:
As for the formation energy from raw total energies: -4.55 kcal/mol of atoms. The crystal system is trigonal. The value obtained for the distance to the lowest polymorph of the same formula is 0.0 meV/atom.


[6]
Entry from Alexandria: a geometry-optimized PmDySiPt structure (PBE).

abc: 4.1813 4.0617 10.9247
angles: 90.00 90.00 90.00
Last column: nearest neighbours and their distance in Å.
Space group Amm2 (No. 38)
One atom of each set of equivalent atoms:
Pm1 0.0000 0.0000 0.0000 [2 per cell]  4 Si 3.02, 3 Pt 3.04-3.16
Dy1 0.5000 0.0000 0.7197 [2 per cell]  4 Pt 2.98, 3 Si 3.06-3.18
Si1 0.5000 0.0000 0.4286 [2 per cell]  2 Pt 2.66
Pt1 0.0000 0.0000 0.2785 [2 per cell]  2 Si 2.66

Summary:
As for the formation energy from raw total energies: -23.00 kcal/mol of atoms. The crystal system is orthorhombic. The value obtained for the distance to the lowest polymorph of the same formula is 0.0 meV/atom.


[7]
Entry from Alexandria: a geometry-optimized CaTePdRh structure (PBE).

abc: 6.7415 6.7415 6.7415
angles: 90.00 90.00 90.00
Last column: nearest neighbours and their distance in Å.
Space group F-43m (No. 216)
One atom of each set of equivalent atoms:
Ca1 0.0000 0.0000 0.0000 [4 per cell]  4 Rh 2.92, 4 Pd 2.92
Te1 0.0000 0.0000 0.5000 [4 per cell]  4 Pd 2.92, 4 Rh 2.92
Pd1 0.2500 0.2500 0.7500 [4 per cell]  4 Te 2.92, 4 Ca 2.92
Rh1 0.2500 0.2500 0.2500 [4 per cell]  4 Te 2.92, 4 Ca 2.92

Summary:
As for the formation energy from raw total energies: -10.98 kcal/mol of atoms. The crystal system is cubic.


[8]
Entry from Alexandria: a geometry-optimized Al3Tl2AgAu12 structure (PBE).

abc: 8.6334 8.6334 18.7334
angles: 90.00 90.00 120.00
Last column: nearest neighbours and their distance in Å.
Space group R-3m (No. 166, hexagonal axes)
One atom of each set of equivalent atoms:
Al1 0.0000 0.5000 0.0000 [9 per cell]  6 Au 2.51-2.55
Tl1 0.0000 0.0000 0.1078 [6 per cell]  6 Au 2.90-2.91
Ag1 0.0000 0.0000 0.5000 [3 per cell]  6 Au 2.72
Au1 0.0167 0.5084 0.3736 [18 per cell]  2 Al 2.55
Au2 0.0213 0.5107 0.8662 [18 per cell]  1 Al 2.51, 1 Ag 2.72

Summary:
For the energy relative to the elements, the calculation gives 0 kJ per mole of atoms. The crystal system is trigonal.


[9]
Entry from Alexandria: a geometry-optimized Tl2Zn3Ga4 structure (PBE).

abc: 5.1817 11.1065 13.0995
angles: 90.00 90.00 90.00
Last column: nearest neighbours and their distance in Å.
Space group Fmmm (No. 69)
One atom of each set of equivalent atoms:
Tl1 0.0000 0.0000 0.1344 [8 per cell]  2 Zn 3.13, 6 Ga 3.17-3.25
Zn1 0.0000 0.0000 0.5000 [4 per cell]  4 Ga 2.94, 4 Zn 3.06, 4 Tl 3.13
Zn2 0.2500 0.2500 0.0000 [8 per cell]  2 Zn 2.59, 4 Ga 2.74
Ga1 0.0000 0.1705 0.3288 [16 per cell]  1 Ga 2.72, 3 Zn 2.74-2.94

Summary:
For the energy relative to the elements, the calculation gives 9 kJ per mole of atoms. The crystal system is orthorhombic.


[10]
Entry from Alexandria: a geometry-optimized K2MnW structure (PBE).

abc: 21.1228 3.0206 3.9394
angles: 90.00 100.23 90.00
Last column: nearest neighbours and their distance in Å.
Space group C2/m (No. 12)
One atom of each set of equivalent atoms:
K1 0.1493 0.0000 0.1413 [4 per cell]  2 K 3.02
Mn1 0.0000 0.5000 0.0000 [2 per cell]  4 W 2.48
W1 0.0000 0.0000 0.5000 [2 per cell]  4 Mn 2.48

Summary:
For the energy relative to the elements, the calculation gives 89 kJ per mole of atoms. The crystal system is monoclinic. The value obtained for the distance to the lowest polymorph of the same formula is 37.1 meV/atom.


[11]
Entry from Alexandria: a geometry-optimized CrCuN2 structure (PBE).

abc: 4.4649 4.4649 8.6428
angles: 90.00 90.00 90.00
Last column: nearest neighbours and their distance in Å.
Space group I-42d (No. 122)
One atom of each set of equivalent atoms:
Cr1 0.0000 0.0000 0.0000 [4 per cell]  4 N 1.82
Cu1 0.0000 0.0000 0.5000 [4 per cell]  4 N 2.02
N1 0.2109 0.2500 0.1250 [8 per cell]  2 Cr 1.82, 2 Cu 2.02

Summary:
As for the formation energy from raw total energies: -2.26 kcal/mol of atoms. The crystal system is tetragonal. The value obtained for the distance to the lowest polymorph of the same formula is 0.0 meV/atom.


[12]
Entry from Alexandria: a geometry-optimized CaTiFe2Co structure (PBE).

abc: 4.5973 4.5973 4.3353
angles: 90.00 90.00 90.00
Last column: nearest neighbours and their distance in Å.
Space group P4/mmm (No. 123)
One atom of each set of equivalent atoms:
Ca1 0.0000 0.0000 0.0000 [1 per cell]  8 Fe 3.16, 4 Ti 3.25
Ti1 0.5000 0.5000 0.0000 [1 per cell]  2 Co 2.17
Fe1 0.0000 0.5000 0.5000 [2 per cell]  2 Co 2.30
Co1 0.5000 0.5000 0.5000 [1 per cell]  2 Ti 2.17, 4 Fe 2.30

Summary:
For the energy relative to the elements, the calculation gives 44 kJ per mole of atoms. The crystal system is tetragonal.


no.,uncorrected energy (eV/cell)
1,-130.448
2,-42.830
3,-39.532
4,-82.080
5,-45.968
6,-49.611
7,-78.368
8,-174.534
9,-79.119
10,-41.250
11,-123.049
12,-31.635